Material: MnAg5Br8
Method: DFT, PBE
State: optimized geometry

Cell and atoms, written as extended XYZ:
```
14
Lattice="-4.9262 4.9262 4.1390 4.9262 -4.9262 4.1390 4.9262 4.9262 -4.1390" Properties=species:S:1:pos:R:3 pbc="T T T"
Mn 0.0000 0.0000 0.0000
Ag 7.2351 2.4798 -1.0675
Ag 2.4798 2.6173 1.0675
Ag -2.3089 2.4464 3.0715
Ag 0.0000 4.9262 2.0695
Ag 2.4464 2.3089 5.2065
Br 2.2328 -0.4083 1.0347
Br 5.3345 -2.6934 3.1042
Br 4.2801 2.4164 -0.9844
Br 7.6196 0.4083 1.0347
Br 2.5098 -0.6461 5.1234
Br 0.6461 2.5098 3.1546
Br 4.5179 2.6934 3.1042
Br 2.4164 5.5723 0.9844
```

Output
Its magnetic moment is 4.32 μB per formula unit. The calculated volume is 28.70 Å³/atom. The value obtained for the uncorrected formation energy is -0.39 eV/atom. As for the space group: I-4. Its density of states at the Fermi level is 9.7 states/eV/cell. For the energy, the calculation gives -3.016 eV per atom.